Compound: YTe2PtN
Source: Alexandria via LeMat-Bulk
Functional: PBE-GGA
Structure: relaxed

Values from the calculation:
Polymorph energy (0 for the lowest one): 845 meV per atom
Uncorrected formation energy: 724 meV per atom
VASP energy: -0.173 Ha/atom

Lattice parameters (Å, degrees): 5.900 5.900 3.968 90.00 90.00 90.00
Fractional coordinates of all 5 atoms:
Y  0.000  0.000  0.000
Te  0.000  0.500  0.000
Te  0.500  0.000  0.000
Pt  0.500  0.500  0.500
N  0.000  0.000  0.500